A geometry-optimized K2ScSbSe4 structure. Source: Alexandria, functional PBE-GGA.

extended XYZ file:
```
16
Lattice="8.587 0.004 0.038 -0.002 8.587 0.038 -4.182 -4.185 6.033" Properties=species:S:1:pos:R:3 pbc="T T T"
Se 1.871 2.245 0.147
Se 4.446 4.076 3.202
Se -0.042 0.331 2.907
K 4.294 0.002 0.019
Se 6.707 2.224 0.274
Se -0.019 4.082 2.819
Se -2.304 2.183 5.835
Sc 6.495 2.206 3.073
Sb 4.405 -4.180 6.071
Se 2.533 2.161 5.961
Se 4.422 0.325 3.290
Sb 2.202 2.203 3.054
K 4.293 4.296 0.038
K 2.203 -2.090 3.035
Sc -0.001 4.294 0.019
K -2.091 -2.092 3.016
```

Computed properties:
ΔE_f (raw) ... -1.12 eV per atom
E ... -4.447 eV per atom
Spin magnetization ... 0.0 μB per formula unit